A PBEsol-optimized structure of TeWCl3, computed with meta-GGA SCAN.

Calculated values
D(E_F): 1.722 states/eV per cell
Calculated total energy: -129.53 eV/cell
Magnetization: 0.0 μB/cell
Uncorrected formation energy: 269 meV/atom

a b c (Å): 4.749 4.749 4.749
angles (deg): 90.00 90.00 90.00
Space group Pm-3m (No. 221)
One atom of each set of equivalent atoms:
Te: 0.000 0.000 0.000 [1 per cell]
W: 0.500 0.500 0.500 [1 per cell]
Cl: 0.000 0.500 0.500 [3 per cell]

***

A PBEsol-optimized structure of Te2WCl, computed with meta-GGA SCAN.

Calculated values
D(E_F): 6.485 states/eV per cell
Calculated total energy: -456.64 eV/cell
Offset from the most stable computed form: 0 meV/atom
Magnetization: 0.0 μB/cell
Uncorrected formation energy: -12 meV/atom

a b c (Å): 3.5177 3.5177 25.1489
angles (deg): 90.00 90.00 120.00
Space group R-3m (No. 166, hexagonal axes)
One atom of each set of equivalent atoms:
Te: 0.0000 0.0000 0.2396 [6 per cell]
W: 0.0000 0.0000 0.5000 [3 per cell]
Cl: 0.0000 0.0000 0.0000 [3 per cell]

***

A PBEsol-optimized structure of Te2WCl, computed with meta-GGA SCAN.

Calculated values
D(E_F): 2.081 states/eV per cell
Calculated total energy: -147.69 eV/cell
Offset from the most stable computed form: 1130 meV/atom
Magnetization: 2.9 μB/cell
Uncorrected formation energy: 1119 meV/atom

a b c (Å): 4.242 4.242 4.816
angles (deg): 90.00 90.00 90.00
Space group P4/mmm (No. 123)
One atom of each set of equivalent atoms:
Te: 0.000 0.500 0.000 [2 per cell]
W: 0.000 0.000 0.500 [1 per cell]
Cl: 0.500 0.500 0.500 [1 per cell]

***

A PBEsol-optimized structure of Y2TeCl, computed with meta-GGA SCAN.

Calculated values
D(E_F): 1.211 states/eV per cell
Calculated total energy: -106.76 eV/cell
Offset from the most stable computed form: 0 meV/atom
Magnetization: 0.0 μB/cell
Uncorrected formation energy: -1461 meV/atom

a b c (Å): 3.941 3.941 6.441
angles (deg): 90.00 90.00 90.00
Space group P4mm (No. 99)
One atom of each set of equivalent atoms:
Y: 0.000 0.000 0.000 [1 per cell]
Y: 0.500 0.500 0.332 [1 per cell]
Te: 0.500 0.500 0.827 [1 per cell]
Cl: 0.000 0.000 0.430 [1 per cell]

***

A PBEsol-optimized structure of Y2TeCl, computed with meta-GGA SCAN.

Calculated values
D(E_F): 9.577 states/eV per cell
Calculated total energy: -412.68 eV/cell
Offset from the most stable computed form: 897 meV/atom
Magnetization: 12.0 μB/cell
Uncorrected formation energy: -564 meV/atom

a b c (Å): 7.432 7.432 7.432
angles (deg): 90.00 90.00 90.00
Space group F-43m (No. 216)
One atom of each set of equivalent atoms:
Y: 0.000 0.000 0.000 [4 per cell]
Y: 0.250 0.250 0.250 [4 per cell]
Te: 0.000 0.000 0.500 [4 per cell]
Cl: 0.250 0.250 0.750 [4 per cell]

***

A PBEsol-optimized structure of YTe2Cl, computed with meta-GGA SCAN.

Calculated values
D(E_F): 0.963 states/eV per cell
Calculated total energy: -342.85 eV/cell
Offset from the most stable computed form: 0 meV/atom
Magnetization: 0.0 μB/cell
Uncorrected formation energy: -990 meV/atom

a b c (Å): 4.4658 4.4658 25.3625
angles (deg): 90.00 90.00 120.00
Space group R-3m (No. 166, hexagonal axes)
One atom of each set of equivalent atoms:
Y: 0.0000 0.0000 0.0000 [3 per cell]
Te: 0.0000 0.0000 0.3966 [6 per cell]
Cl: 0.0000 0.0000 0.5000 [3 per cell]

***

A PBEsol-optimized structure of Y2Te2Cl, computed with meta-GGA SCAN.

Calculated values
D(E_F): 2.344 states/eV per cell
Calculated total energy: -293.59 eV/cell
Magnetization: 0.0 μB/cell
Uncorrected formation energy: -1726 meV/atom

a b c (Å): 8.037 8.037 4.033
angles (deg): 90.00 90.00 90.00
Space group P4/mbm (No. 127)
One atom of each set of equivalent atoms:
Y: 0.153 0.347 0.000 [4 per cell]
Te: 0.146 0.646 0.500 [4 per cell]
Cl: 0.000 0.000 0.000 [2 per cell]

***

A PBEsol-optimized structure of YTe2Cl, computed with meta-GGA SCAN.

Calculated values
D(E_F): 5.010 states/eV per cell
Calculated total energy: -455.97 eV/cell
Offset from the most stable computed form: 73 meV/atom
Magnetization: 0.0 μB/cell
Uncorrected formation energy: -917 meV/atom

a b c (Å): 4.301 4.301 23.193
angles (deg): 90.00 90.00 90.00
Space group I-42d (No. 122)
One atom of each set of equivalent atoms:
Y: 0.000 0.000 0.000 [4 per cell]
Te: 0.244 0.250 0.125 [8 per cell]
Cl: 0.000 0.000 0.500 [4 per cell]

***

A PBEsol-optimized structure of Y2TeCl, computed with meta-GGA SCAN.

Calculated values
D(E_F): 2.767 states/eV per cell
Calculated total energy: -106.09 eV/cell
Offset from the most stable computed form: 167 meV/atom
Magnetization: 0.0 μB/cell
Uncorrected formation energy: -1294 meV/atom

a b c (Å): 4.563 3.841 5.954
angles (deg): 90.00 104.69 90.00
Space group P2/m (No. 10)
One atom of each set of equivalent atoms:
Y: 0.000 0.000 0.000 [1 per cell]
Y: 0.500 0.500 0.500 [1 per cell]
Te: 0.000 0.000 0.500 [1 per cell]
Cl: 0.500 0.500 0.000 [1 per cell]

***

A PBEsol-optimized structure of ZnTeCl, computed with meta-GGA SCAN.

Calculated values
D(E_F): 7.834 states/eV per cell
Calculated total energy: -233.77 eV/cell
Magnetization: 0.0 μB/cell
Uncorrected formation energy: 100 meV/atom

a b c (Å): 6.720 6.720 6.720
angles (deg): 90.00 90.00 90.00
Space group F-43m (No. 216)
One atom of each set of equivalent atoms:
Zn: 0.000 0.000 0.000 [4 per cell]
Te: 0.250 0.250 0.250 [4 per cell]
Cl: 0.000 0.000 0.500 [4 per cell]

***

A PBEsol-optimized structure of ZnTeCl, computed with meta-GGA SCAN.

Calculated values
D(E_F): 12.898 states/eV per cell
Calculated total energy: -226.70 eV/cell
Magnetization: 0.0 μB/cell
Uncorrected formation energy: 690 meV/atom

a b c (Å): 6.717 6.717 6.717
angles (deg): 90.00 90.00 90.00
Space group F-43m (No. 216)
One atom of each set of equivalent atoms:
Zn: 0.000 0.000 0.000 [4 per cell]
Te: 0.000 0.000 0.500 [4 per cell]
Cl: 0.250 0.250 0.750 [4 per cell]

***

A PBEsol-optimized structure of Zn2TeCl, computed with meta-GGA SCAN.

Calculated values
D(E_F): 1.251 states/eV per cell
Calculated total energy: -72.41 eV/cell
Magnetization: 0.0 μB/cell
Uncorrected formation energy: -38 meV/atom

a b c (Å): 4.862 4.862 3.400
angles (deg): 90.00 90.00 90.00
Space group P4/mmm (No. 123)
One atom of each set of equivalent atoms:
Zn: 0.000 0.500 0.000 [2 per cell]
Te: 0.000 0.000 0.500 [1 per cell]
Cl: 0.500 0.500 0.500 [1 per cell]

***

A PBEsol-optimized structure of ZnTe2Cl, computed with meta-GGA SCAN.

Calculated values
D(E_F): 3.122 states/eV per cell
Calculated total energy: -192.89 eV/cell
Offset from the most stable computed form: 0 meV/atom
Magnetization: 0.0 μB/cell
Uncorrected formation energy: -112 meV/atom

a b c (Å): 3.636 4.772 10.780
angles (deg): 90.00 90.00 90.00
Space group Immm (No. 71)
One atom of each set of equivalent atoms:
Zn: 0.000 0.000 0.000 [2 per cell]
Te: 0.000 0.500 0.299 [4 per cell]
Cl: 0.000 0.000 0.500 [2 per cell]

***

A PBEsol-optimized structure of ZnTe2Cl, computed with meta-GGA SCAN.

Calculated values
D(E_F): 3.647 states/eV per cell
Calculated total energy: -192.51 eV/cell
Offset from the most stable computed form: 47 meV/atom
Magnetization: 0.0 μB/cell
Uncorrected formation energy: -65 meV/atom

a b c (Å): 4.079 6.327 7.775
angles (deg): 90.00 90.00 90.00
Space group Cmmm (No. 65)
One atom of each set of equivalent atoms:
Zn: 0.000 0.000 0.000 [2 per cell]
Te: 0.000 0.500 0.210 [4 per cell]
Cl: 0.000 0.000 0.500 [2 per cell]